No. 1
Computed, not measured: a relaxed structure of Ce4Er11S22 at the PBE level of DFT.

The energy relative to the elements, uncorrected comes out at -2077 meV/atom.

Unit cell a=19.6558 b=19.6558 c=11.3070 alpha=88.48 beta=88.48 gamma=11.48
Last column: nearest neighbours and their distance in Å.
Element x y z (fractional)
Er 0.4613 0.4613 0.7307  6 S 2.64-2.76
Er 0.0000 0.0000 0.0000  6 S 2.72-2.73
Er 0.6579 0.6579 0.6985  6 S 2.65-2.78
Er 0.5387 0.5387 0.2693  6 S 2.64-2.76
Er 0.0699 0.0699 0.6403  6 S 2.64-2.77
Er 0.3421 0.3421 0.3015  6 S 2.65-2.78
Er 0.7977 0.7977 0.9413  7 S 2.68-2.87
Er 0.7361 0.7361 0.3514  6 S 2.64-2.76
Er 0.2023 0.2023 0.0587  7 S 2.68-2.87
Er 0.9301 0.9301 0.3597  6 S 2.64-2.77
Er 0.2639 0.2639 0.6486  6 S 2.64-2.76
S 0.7201 0.7201 0.5902  4 Er 2.69-2.76
S 0.4530 0.4530 0.9709  3 Er 2.72-2.73, 2 Ce 3.02
S 0.8312 0.8312 0.1504  3 Er 2.65-2.73, 1 Ce 2.92
S 0.9924 0.9924 0.2403  4 Er 2.70-2.75
S 0.4065 0.4065 0.2105  3 Er 2.69-2.77
S 0.2550 0.2550 0.8810  4 Er 2.64-2.84
S 0.5470 0.5470 0.0291  3 Er 2.72-2.73, 2 Ce 3.02
S 0.4444 0.4444 0.5065  3 Er 2.64
S 0.5556 0.5556 0.4935  3 Er 2.64
S 0.0881 0.0881 0.2468  2 Er 2.76, 3 Ce 2.89-2.98
S 0.1348 0.1348 0.5464  3 Er 2.72-2.78, 2 Ce 2.98
S 0.8112 0.8112 0.6908  3 Er 2.75-2.87, 2 Ce 2.96
S 0.7450 0.7450 0.1190  4 Er 2.64-2.84
S 0.8652 0.8652 0.4536  3 Er 2.72-2.78, 2 Ce 2.98
S 0.1888 0.1888 0.3092  3 Er 2.75-2.87, 2 Ce 2.96
S 0.3504 0.3504 0.9086  2 Er 2.86, 3 Ce 2.90-2.96
S 0.9119 0.9119 0.7532  2 Er 2.76, 3 Ce 2.89-2.98
S 0.2799 0.2799 0.4098  4 Er 2.69-2.76
S 0.1688 0.1688 0.8496  3 Er 2.65-2.73, 1 Ce 2.92
S 0.0076 0.0076 0.7597  4 Er 2.70-2.75
S 0.5935 0.5935 0.7895  3 Er 2.69-2.77
S 0.6496 0.6496 0.0914  2 Er 2.86, 3 Ce 2.90-2.96
Ce 0.3671 0.3671 0.6517  7 S 2.89-2.98
Ce 0.6329 0.6329 0.3483  7 S 2.89-2.98
Ce 0.8952 0.8952 0.0120  8 S 2.90-3.03
Ce 0.1048 0.1048 0.9880  8 S 2.90-3.03

No. 2
Computed, not measured: a relaxed structure of VPdW2Cl at the PBE level of DFT.

The energy relative to the elements, uncorrected comes out at 1752 meV/atom.

Unit cell a=4.5676 b=4.7861 c=4.5676 alpha=90.00 beta=90.00 gamma=90.00
Last column: nearest neighbours and their distance in Å.
Element x y z (fractional)
W 0.5000 0.0000 0.0000  2 V 2.28
W 0.0000 0.0000 0.5000  2 V 2.28
V 0.0000 0.0000 0.0000  4 W 2.28, 2 Pd 2.39
Pd 0.0000 0.5000 0.0000  2 V 2.39
Cl 0.5000 0.5000 0.5000  4 Pd 3.23, 8 W 3.31

> Number 1 is which compound?

Ce4Er11S22